First-principles (PBE) data for a relaxed Li5ZnIn crystal, as listed in the Alexandria database.

Output
N(E_F) in states/eV per atom: 0.36
E_tot in eV/atom: -2.04

a = 4.2440 Å, b = 4.2440 Å, c = 7.4437 Å
α = 90.00°, β = 90.00°, γ = 90.00°
Closest atoms and distances in Å follow each position.
Space group P4/mmm (No. 123)
Unique sites:
Li 0.0000 0.0000 0.0000  8 Li 2.96, 4 In 3.00
Li 0.0000 0.5000 0.2770  2 Zn 2.69, 2 In 2.96, 6 Li 2.96-3.00
Zn 0.0000 0.0000 0.5000  8 Li 2.69
In 0.5000 0.5000 0.0000  12 Li 2.96-3.00

First-principles (PBE) data for a relaxed CeCuBiRh crystal, as listed in the Alexandria database.

Output
N(E_F) in states/eV per atom: 1.03
E_tot in eV/atom: -5.69

a = 6.8853 Å, b = 6.8853 Å, c = 6.8853 Å
α = 90.00°, β = 90.00°, γ = 90.00°
Closest atoms and distances in Å follow each position.
Space group F-43m (No. 216)
Unique sites:
Ce 0.0000 0.0000 0.0000  4 Rh 2.98, 4 Cu 2.98
Cu 0.2500 0.2500 0.2500  4 Ce 2.98, 4 Bi 2.98
Bi 0.0000 0.0000 0.5000  4 Cu 2.98, 4 Rh 2.98
Rh 0.2500 0.2500 0.7500  4 Ce 2.98, 4 Bi 2.98

First-principles (PBE) data for a relaxed AcPrSb2Pd5 crystal, as listed in the Alexandria database.

Output
N(E_F) in states/eV per atom: 0.28
E_form (uncorrected) in eV/atom: -0.742

a = 4.5097 Å, b = 4.5097 Å, c = 9.7519 Å
α = 90.00°, β = 90.00°, γ = 90.00°
Closest atoms and distances in Å follow each position.
Space group P4/mmm (No. 123)
Unique sites:
Ac 0.0000 0.0000 0.0000  12 Pd 3.08-3.19
Pr 0.0000 0.0000 0.5000  8 Sb 3.51, 8 Pd 3.58
Sb 0.5000 0.5000 0.3506  4 Pd 2.62, 1 Sb 2.91
Pd 0.0000 0.5000 0.2144  2 Sb 2.62
Pd 0.5000 0.5000 0.0000  8 Pd 3.08, 4 Ac 3.19, 2 Sb 3.42

First-principles (PBE) data for a relaxed TlAg2W crystal, as listed in the Alexandria database.

Output
N(E_F) in states/eV per atom: 0.63
E_tot in eV/atom: -4.67

a = 2.8603 Å, b = 2.8603 Å, c = 9.5109 Å
α = 90.00°, β = 90.00°, γ = 90.00°
Closest atoms and distances in Å follow each position.
Space group P4/mmm (No. 123)
Unique sites:
Tl 0.0000 0.0000 0.0000  4 Tl 2.86
Ag 0.5000 0.5000 0.2768  4 Ag 2.86, 4 W 2.93
W 0.0000 0.0000 0.5000  4 W 2.86, 8 Ag 2.93

First-principles (PBE) data for a relaxed Be2IrPdI crystal, as listed in the Alexandria database.

Output
N(E_F) in states/eV per atom: 0.88
E_form (uncorrected) in eV/atom: 1.772

a = 4.4929 Å, b = 4.4929 Å, c = 4.9264 Å
α = 90.00°, β = 90.00°, γ = 90.00°
Closest atoms and distances in Å follow each position.
Space group P4/mmm (No. 123)
Unique sites:
Be 0.0000 0.5000 0.0000  2 I 2.25
Ir 0.0000 0.0000 0.5000  2 I 2.46
Pd 0.5000 0.5000 0.5000  4 Ir 3.18, 8 Be 3.33
I 0.0000 0.0000 0.0000  4 Be 2.25, 2 Ir 2.46

First-principles (PBE) data for a relaxed ErZr2Ti2Rh5 crystal, as listed in the Alexandria database.

Output
N(E_F) in states/eV per atom: 0.90
E_tot in eV/atom: -8.07

a = 9.6970 Å, b = 9.6970 Å, c = 3.7353 Å
α = 90.00°, β = 90.00°, γ = 90.00°
Closest atoms and distances in Å follow each position.
Space group P4/mbm (No. 127)
Unique sites:
Er 0.0000 0.0000 0.0000  8 Rh 2.86
Zr 0.1756 0.3244 0.0000  3 Ti 2.78-2.93, 2 Rh 3.05
Ti 0.1214 0.6214 0.0000  6 Rh 2.50-2.52, 1 Zr 2.78
Rh 0.0000 0.5000 0.5000  4 Ti 2.50
Rh 0.0682 0.7877 0.5000  2 Ti 2.52

First-principles (PBE) data for a relaxed Ho4Tm3Sn4 crystal, as listed in the Alexandria database.

Output
N(E_F) in states/eV per atom: 1.11
E_tot in eV/atom: -4.84

a = 3.5066 Å, b = 9.4717 Å, c = 18.5400 Å
α = 90.00°, β = 90.00°, γ = 90.00°
Closest atoms and distances in Å follow each position.
Space group Immm (No. 71)
Unique sites:
Ho 0.0000 0.1823 0.1625  4 Sn 3.15-3.25, 3 Ho 3.45-3.51
Tm 0.0000 0.0000 0.4069  6 Sn 3.07-3.22
Tm 0.0000 0.5000 0.5000  4 Sn 3.19, 2 Tm 3.51
Sn 0.0000 0.2813 0.0000  2 Ho 3.15, 6 Tm 3.19-3.22, 2 Sn 3.51
Sn 0.0000 0.5000 0.2292  2 Tm 3.07, 6 Ho 3.18-3.25

First-principles (PBE) data for a relaxed Pu3Ge4Pd4 crystal, as listed in the Alexandria database.

Output
N(E_F) in states/eV per atom: 1.33
E_tot in eV/atom: -7.48

a = 3.2415 Å, b = 4.6094 Å, c = 29.4642 Å
α = 90.00°, β = 90.00°, γ = 90.00°
Closest atoms and distances in Å follow each position.
Space group Immm (No. 71)
Unique sites:
Pu 0.0000 0.0000 0.0000  4 Pu 2.48
Pu 0.0000 0.5000 0.4365  2 Pu 2.48
Ge 0.0000 0.0000 0.1480  3 Pd 2.59-2.63, 2 Ge 2.71
Ge 0.0000 0.5000 0.1965  5 Pd 2.54-2.61, 2 Ge 2.71
Pd 0.0000 0.0000 0.2373  5 Ge 2.54-2.63
Pd 0.0000 0.5000 0.1078  3 Ge 2.59-2.61

First-principles (PBE) data for a relaxed NaCoPS2 crystal, as listed in the Alexandria database.

Output
N(E_F) in states/eV per atom: 0.95
E_form (uncorrected) in eV/atom: 0.034

a = 4.7588 Å, b = 4.7588 Å, c = 4.1288 Å
α = 90.00°, β = 90.00°, γ = 90.00°
Closest atoms and distances in Å follow each position.
Space group P4/mmm (No. 123)
Unique sites:
Na 0.0000 0.0000 0.0000  8 S 3.15, 4 P 3.36
Co 0.5000 0.5000 0.5000  2 P 2.06
P 0.5000 0.5000 0.0000  2 Co 2.06
S 0.0000 0.5000 0.5000  2 Co 2.38

First-principles (PBE) data for a relaxed Al4Zn6Ag crystal, as listed in the Alexandria database.

Output
N(E_F) in states/eV per atom: 0.18
E_tot in eV/atom: -2.24

a = 4.4810 Å, b = 8.7643 Å, c = 18.8869 Å
α = 90.00°, β = 90.00°, γ = 90.00°
Closest atoms and distances in Å follow each position.
Space group Cmcm (No. 63)
Unique sites:
Al 0.0000 0.1192 0.1251  7 Zn 2.58-2.86, 1 Ag 2.79, 1 Al 2.79
Al 0.0000 0.3408 0.0187  6 Zn 2.66-2.97, 4 Al 2.79-2.88
Zn 0.0000 0.0000 0.0000  6 Al 2.58-2.66
Zn 0.0000 0.2070 0.6194  6 Al 2.71-2.97, 1 Ag 2.83, 4 Zn 2.86-2.89
Zn 0.0000 0.2543 0.2500  2 Zn 2.57, 2 Al 2.64, 3 Ag 2.66-2.82
Zn 0.0000 0.4755 0.1604  3 Zn 2.57-2.86, 2 Al 2.66, 2 Ag 2.82
Ag 0.0000 0.0497 0.7500  9 Zn 2.66-2.83, 2 Al 2.79

First-principles (PBE) data for a relaxed K2CdO2 crystal, as listed in the Alexandria database.

Output
E_form (uncorrected) in eV/atom: -1.125

a = 12.2599 Å, b = 5.5107 Å, c = 7.5915 Å
α = 90.00°, β = 118.06°, γ = 90.00°
Closest atoms and distances in Å follow each position.
Space group C2/m (No. 12)
Unique sites:
K 0.0136 0.0000 0.2311  4 O 2.63-2.81
K 0.1638 0.5000 0.0742  4 O 2.70-2.84
Cd 0.1469 0.5000 0.6099  2 O 2.05-2.09
O 0.0181 0.5000 0.3075  1 Cd 2.09
O 0.1910 0.0000 0.1281  1 Cd 2.05

First-principles (PBE) data for a relaxed BaReRh crystal, as listed in the Alexandria database.

Output
N(E_F) in states/eV per atom: 1.56
E_tot in eV/atom: -6.07

a = 4.8944 Å, b = 4.8944 Å, c = 3.1028 Å
α = 90.00°, β = 90.00°, γ = 120.00°
Closest atoms and distances in Å follow each position.
Space group P-6m2 (No. 187)
Unique sites:
Ba 0.0000 0.0000 0.0000  2 Ba 3.10, 6 Rh 3.22, 6 Re 3.22
Re 0.6667 0.3333 0.5000  3 Rh 2.83, 2 Re 3.10
Rh 0.3333 0.6667 0.5000  3 Re 2.83, 2 Rh 3.10

First-principles (PBE) data for a relaxed Ba4FeAs crystal, as listed in the Alexandria database.

Output
N(E_F) in states/eV per atom: 2.00
E_tot in eV/atom: -2.71

a = 9.9376 Å, b = 9.9376 Å, c = 9.9376 Å
α = 90.00°, β = 90.00°, γ = 90.00°
Closest atoms and distances in Å follow each position.
Space group F-43m (No. 216)
Unique sites:
Ba 0.1240 0.1240 0.3760  6 Ba 3.48-3.54
Fe 0.0000 0.0000 0.0000  12 Ba 4.12, 4 As 4.30
As 0.2500 0.2500 0.7500  12 Ba 4.12, 4 Fe 4.30

no.,ρ (g/cm³)
1,2.7
2,10.5
3,9.6
4,12.9
5,7.4
6,9.1
7,8.9
8,10.9
9,3.1
10,5.4
11,3.3
12,11.0
13,4.6